1.
## NbTl2Cl6 (GGA-PBE)

Data for a geometry-optimized NbTl2Cl6 structure.

energy relative to the elements, uncorrected	-1167	meV per atom
offset from the most stable computed form	0.0	kJ/mol of formula units
space group	No. 225

Cell and atoms, written as POSCAR:
```
NbTl2Cl6
1.0
0.000 5.069 5.069
5.069 0.000 5.069
5.069 5.069 0.000
Nb Tl Cl
1 2 6
direct
0.000 0.000 0.000
0.250 0.250 0.250
0.750 0.750 0.750
0.240 0.240 0.760
0.240 0.760 0.240
0.240 0.760 0.760
0.760 0.240 0.240
0.760 0.240 0.760
0.760 0.760 0.240
```

---

2.
## Sm2Y6S3 (GGA-PBE)

Data for a geometry-optimized Sm2Y6S3 structure.

energy relative to the elements, uncorrected	-1055	meV per atom
space group	No. 166

Cell and atoms, written as POSCAR:
```
Sm2Y6S3
1.0
1.883 1.087 24.593
-1.883 1.087 24.593
0.000 -2.174 24.593
Sm Y S
2 6 3
direct
0.058 0.058 0.058
0.942 0.942 0.942
0.143 0.143 0.143
0.314 0.314 0.314
0.432 0.432 0.432
0.568 0.568 0.568
0.686 0.686 0.686
0.857 0.857 0.857
0.212 0.212 0.212
0.500 0.500 0.500
0.788 0.788 0.788
```

---

3.
## ThTlTe2Cl (GGA-PBE)

Data for a geometry-optimized ThTlTe2Cl structure.

energy relative to the elements, uncorrected	-1183	meV per atom
space group	No. 11

Cell and atoms, written as POSCAR:
```
ThTlTe2Cl
1.0
9.449 0.000 0.000
0.000 4.530 0.000
-2.597 0.000 9.342
Th Tl Te Cl
2 2 4 2
direct
0.181 0.250 0.179
0.819 0.750 0.821
0.227 0.250 0.683
0.773 0.750 0.317
0.146 0.750 0.389
0.171 0.750 0.946
0.829 0.250 0.054
0.854 0.250 0.611
0.468 0.250 0.250
0.532 0.750 0.750
```

---

4.
## BPdRh (GGA-PBE)

Data for a geometry-optimized BPdRh structure.

space group	No. 216
formation energy	-0.40	eV/f.u.

Cell and atoms, written as POSCAR:
```
BPdRh
1.0
0.000 2.659 2.659
2.659 0.000 2.659
2.659 2.659 0.000
B Pd Rh
1 1 1
direct
0.000 0.000 0.000
0.250 0.250 0.250
0.750 0.750 0.750
```

---

5.
## W2SeCl (GGA-PBE)

Data for a geometry-optimized W2SeCl structure.

energy relative to the elements, uncorrected	221	meV per atom
offset from the most stable computed form	97.4	kJ/mol of formula units
space group	No. 8

Cell and atoms, written as POSCAR:
```
W2SeCl
1.0
4.129 -1.607 0.000
4.129 1.607 0.000
-1.289 0.000 7.609
W Se Cl
2 1 1
direct
0.000 0.000 0.000
0.684 0.684 0.856
0.300 0.300 0.140
0.633 0.633 0.559
```

---

6.
## AgPdPb (GGA-PBE)

Data for a geometry-optimized AgPdPb structure.

offset from the most stable computed form	24.2	kJ/mol of formula units
space group	No. 216
formation energy	-0.10	eV/f.u.

Cell and atoms, written as POSCAR:
```
AgPdPb
1.0
0.000 3.235 3.235
3.235 0.000 3.235
3.235 3.235 0.000
Ag Pd Pb
1 1 1
direct
0.000 0.000 0.000
0.750 0.750 0.750
0.500 0.500 0.500
```

---

7.
## Ce2Pa2Se2S5 (GGA-PBE)

Data for a geometry-optimized Ce2Pa2Se2S5 structure.

energy relative to the elements, uncorrected	-1598	meV per atom
space group	No. 139

Cell and atoms, written as POSCAR:
```
Ce2Pa2Se2S5
1.0
-2.615 2.615 12.536
2.615 -2.615 12.536
2.615 2.615 -12.536
Ce Pa Se S
2 2 2 5
direct
0.170 0.170 0.000
0.830 0.830 0.000
0.396 0.396 0.000
0.604 0.604 0.000
0.285 0.285 0.000
0.715 0.715 0.000
0.116 0.616 0.500
0.384 0.884 0.500
0.500 0.500 0.000
0.616 0.116 0.500
0.884 0.384 0.500
```

---

8.
## SiTc2Ir (GGA-PBE)

Data for a geometry-optimized SiTc2Ir structure.

energy relative to the elements, uncorrected	-106	meV per atom
space group	No. 65

Cell and atoms, written as POSCAR:
```
SiTc2Ir
1.0
2.512 -4.041 0.000
2.512 4.041 0.000
0.000 0.000 2.794
Si Tc Ir
1 2 1
direct
0.000 0.000 0.000
0.000 0.500 0.500
0.500 0.000 0.500
0.500 0.500 0.000
```

---

9.
## Ca2TiSiRu (GGA-PBE)

Data for a geometry-optimized Ca2TiSiRu structure.

energy relative to the elements, uncorrected	426	meV per atom
space group	No. 123

Cell and atoms, written as POSCAR:
```
Ca2TiSiRu
1.0
5.453 0.000 0.000
0.000 5.453 0.000
0.000 0.000 4.529
Ca Ti Si Ru
2 1 1 1
direct
0.000 0.500 0.000
0.500 0.000 0.000
0.000 0.000 0.500
0.500 0.500 0.500
0.000 0.000 0.000
```

---

10.
## CeHo2Sc4 (GGA-PBE)

Data for a geometry-optimized CeHo2Sc4 structure.

offset from the most stable computed form	9.0	kJ/mol of formula units
space group	No. 65
formation energy	0.45	eV/f.u.

Cell and atoms, written as POSCAR:
```
CeHo2Sc4
1.0
2.659 -10.655 0.000
2.659 10.655 0.000
0.000 0.000 3.355
Ce Ho Sc
1 2 4
direct
0.000 0.000 0.000
0.426 0.574 0.500
0.574 0.426 0.500
0.159 0.841 0.500
0.292 0.708 0.000
0.708 0.292 0.000
0.841 0.159 0.500
```

---

11.
## SiPN3 (GGA-PBE)

Data for a geometry-optimized SiPN3 structure.

energy relative to the elements, uncorrected	1031	meV per atom
space group	No. 221

Cell and atoms, written as POSCAR:
```
SiPN3
1.0
3.591 0.000 0.000
0.000 3.591 0.000
0.000 0.000 3.591
Si P N
1 1 3
direct
0.000 0.000 0.000
0.500 0.500 0.500
0.000 0.000 0.500
0.000 0.500 0.000
0.500 0.000 0.000
```

---

12.
## Ac2CoNiH6 (GGA-PBE)

Data for a geometry-optimized Ac2CoNiH6 structure.

space group	No. 8

Cell and atoms, written as POSCAR:
```
Ac2CoNiH6
1.0
4.682 -2.673 0.000
4.682 2.673 0.000
-3.090 0.000 4.507
Ac Co Ni H
2 1 1 6
direct
0.000 0.000 0.000
0.503 0.503 0.504
0.774 0.774 0.295
0.238 0.238 0.689
0.015 0.015 0.513
0.448 0.448 0.943
0.521 0.984 0.488
0.545 0.967 0.061
0.967 0.545 0.061
0.984 0.521 0.488
```

---

Number 1: spin magnetization 1.00 μB/f.u., uncorrected energy -4.042 eV per atom, Fermi-level density of states 6.20 states/eV/f.u.. Number 2: spin magnetization 0.00 μB/f.u., uncorrected energy -6.565 eV per atom, Fermi-level density of states 9.91 states/eV/f.u.. Number 3: spin magnetization 0.00 μB/f.u., uncorrected energy -4.766 eV per atom, Fermi-level density of states 0.00 states/eV/f.u.. Number 4: spin magnetization 0.00 μB/f.u., uncorrected energy -6.541 eV per atom, Fermi-level density of states 1.44 states/eV/f.u.. Number 5: spin magnetization 0.00 μB/f.u., uncorrected energy -7.588 eV per atom, Fermi-level density of states 2.62 states/eV/f.u.. Number 6: spin magnetization 0.00 μB/f.u., uncorrected energy -3.952 eV per atom, Fermi-level density of states 1.89 states/eV/f.u.. Number 7: spin magnetization 2.93 μB/f.u., uncorrected energy -6.913 eV per atom, Fermi-level density of states 17.29 states/eV/f.u.. Number 8: spin magnetization 0.00 μB/f.u., uncorrected energy -8.860 eV per atom, Fermi-level density of states 3.92 states/eV/f.u.. Number 9: spin magnetization 0.00 μB/f.u., uncorrected energy -4.893 eV per atom, Fermi-level density of states 4.73 states/eV/f.u.. Number 10: spin magnetization 0.38 μB/f.u., uncorrected energy -5.709 eV per atom, Fermi-level density of states 13.57 states/eV/f.u.. Number 11: spin magnetization 0.00 μB/f.u., uncorrected energy -6.131 eV per atom, Fermi-level density of states 2.00 states/eV/f.u.. Number 12: spin magnetization 0.00 μB/f.u., uncorrected energy -4.480 eV per atom, Fermi-level density of states 3.72 states/eV/f.u..